# 1
# ThHF6 | the Alexandria database | PBE | optimized geometry
# Raw total energy (Ry per atom): -0.409
data_ThHF6
_chemical_formula_sum 'Th2 H2 F12'
_cell_length_a 5.065
_cell_length_b 6.752
_cell_length_c 6.122
_cell_angle_alpha 90.00
_cell_angle_beta 105.90
_cell_angle_gamma 90.00
_space_group_name_H-M_alt 'C 1 2/m 1'
_space_group_IT_number 12
loop_
_space_group_symop_operation_xyz
'x,y,z'
'-x,-y,-z'
'-x,y,-z'
'x,-y,z'
'x+1/2,y+1/2,z'
'-x+1/2,-y+1/2,-z'
'-x+1/2,y+1/2,-z'
'x+1/2,-y+1/2,z'
loop_
_atom_site_label
_atom_site_fract_x
_atom_site_fract_y
_atom_site_fract_z
_atom_site_occupancy
Th1 0.000 0.000 0.000 1
H1 0.000 0.500 0.500 1
F1 0.205 0.319 0.174 1
F2 0.218 0.500 0.621 1

=====

# 2
# TiHF2 | the Alexandria database | PBE | optimized geometry
# Excess energy over the best structure of this formula in the dataset (meV/atom): 0.0
# Raw total energy (Ry per atom): -0.395
data_TiHF2
_chemical_formula_sum 'Ti4 H4 F8'
_cell_length_a 5.173
_cell_length_b 5.173
_cell_length_c 5.173
_cell_angle_alpha 90.00
_cell_angle_beta 90.00
_cell_angle_gamma 90.00
_space_group_name_H-M_alt 'F m -3 m'
_space_group_IT_number 225
_space_group_name_Hall '-F 4 2 3'
loop_
_atom_site_label
_atom_site_fract_x
_atom_site_fract_y
_atom_site_fract_z
_atom_site_occupancy
Ti1 0.000 0.000 0.000 1
H1 0.000 0.000 0.500 1
F1 0.250 0.250 0.250 1

=====

# 3
# TiH3F | the Alexandria database | PBE | optimized geometry
# Excess energy over the best structure of this formula in the dataset (meV/atom): 0.0
# Raw total energy (Ry per atom): -0.306
data_TiH3F
_chemical_formula_sum 'Ti1 H3 F1'
_cell_length_a 3.524
_cell_length_b 3.524
_cell_length_c 3.524
_cell_angle_alpha 90.00
_cell_angle_beta 90.00
_cell_angle_gamma 90.00
_space_group_name_H-M_alt 'P m -3 m'
_space_group_IT_number 221
_space_group_name_Hall '-P 4 2 3'
loop_
_atom_site_label
_atom_site_fract_x
_atom_site_fract_y
_atom_site_fract_z
_atom_site_occupancy
Ti1 0.000 0.000 0.000 1
H1 0.000 0.000 0.500 1
F1 0.500 0.500 0.500 1

=====

# 4
# TiHF2 | the Alexandria database | PBE | optimized geometry
# Excess energy over the best structure of this formula in the dataset (meV/atom): 499.0
# Raw total energy (Ry per atom): -0.358
data_TiHF2
_chemical_formula_sum 'Ti3 H3 F6'
_cell_length_a 3.0797
_cell_length_b 3.0797
_cell_length_c 23.1637
_cell_angle_alpha 90.00
_cell_angle_beta 90.00
_cell_angle_gamma 120.00
_space_group_name_H-M_alt 'R -3 m'
_space_group_IT_number 166
_space_group_name_Hall '-R 3 2"'
loop_
_atom_site_label
_atom_site_fract_x
_atom_site_fract_y
_atom_site_fract_z
_atom_site_occupancy
Ti1 0.0000 0.0000 0.0000 1
H1 0.0000 0.0000 0.5000 1
F1 0.0000 0.0000 0.0774 1

=====

# 5
# Ti2HF2 | the Alexandria database | PBE | optimized geometry
# Excess energy over the best structure of this formula in the dataset (meV/atom): 41.8
# Raw total energy (Ry per atom): -0.402
data_Ti2HF2
_chemical_formula_sum 'Ti4 H2 F4'
_cell_length_a 6.448
_cell_length_b 6.448
_cell_length_c 2.681
_cell_angle_alpha 90.00
_cell_angle_beta 90.00
_cell_angle_gamma 90.00
_space_group_name_H-M_alt 'P 4/m b m'
_space_group_IT_number 127
_space_group_name_Hall '-P 4 2ab'
loop_
_atom_site_label
_atom_site_fract_x
_atom_site_fract_y
_atom_site_fract_z
_atom_site_occupancy
Ti1 0.194 0.306 0.000 1
H1 0.000 0.000 0.500 1
F1 0.122 0.622 0.500 1

=====

# 6
# Ti2HF2 | the Alexandria database | PBE | optimized geometry
# Excess energy over the best structure of this formula in the dataset (meV/atom): 0.0
# Raw total energy (Ry per atom): -0.405
data_Ti2HF2
_chemical_formula_sum 'Ti4 H2 F4'
_cell_length_a 3.679
_cell_length_b 3.679
_cell_length_c 9.100
_cell_angle_alpha 90.00
_cell_angle_beta 90.00
_cell_angle_gamma 90.00
_space_group_name_H-M_alt 'I 4/m m m'
_space_group_IT_number 139
_space_group_name_Hall '-I 4 2'
loop_
_atom_site_label
_atom_site_fract_x
_atom_site_fract_y
_atom_site_fract_z
_atom_site_occupancy
Ti1 0.000 0.500 0.250 1
H1 0.000 0.000 0.000 1
F1 0.000 0.000 0.377 1

=====

# 7
# TiHF2 | the Alexandria database | PBE | optimized geometry
# Excess energy over the best structure of this formula in the dataset (meV/atom): 200.0
# Raw total energy (Ry per atom): -0.380
data_TiHF2
_chemical_formula_sum 'Ti4 H4 F8'
_cell_length_a 5.249
_cell_length_b 5.249
_cell_length_c 10.616
_cell_angle_alpha 90.00
_cell_angle_beta 90.00
_cell_angle_gamma 90.00
_space_group_name_H-M_alt 'I -4 2 d'
_space_group_IT_number 122
_space_group_name_Hall 'I -4 2bw'
loop_
_atom_site_label
_atom_site_fract_x
_atom_site_fract_y
_atom_site_fract_z
_atom_site_occupancy
Ti1 0.000 0.000 0.000 1
H1 0.000 0.000 0.500 1
F1 0.085 0.250 0.125 1

=====

# 8
# TiHF2 | the Alexandria database | PBE | optimized geometry
# Excess energy over the best structure of this formula in the dataset (meV/atom): 116.8
# Raw total energy (Ry per atom): -0.386
data_TiHF2
_chemical_formula_sum 'Ti3 H3 F6'
_cell_length_a 2.8437
_cell_length_b 2.8437
_cell_length_c 17.1000
_cell_angle_alpha 90.00
_cell_angle_beta 90.00
_cell_angle_gamma 120.00
_space_group_name_H-M_alt 'R -3 m'
_space_group_IT_number 166
_space_group_name_Hall '-R 3 2"'
loop_
_atom_site_label
_atom_site_fract_x
_atom_site_fract_y
_atom_site_fract_z
_atom_site_occupancy
Ti1 0.0000 0.0000 0.0000 1
H1 0.0000 0.0000 0.5000 1
F1 0.0000 0.0000 0.4327 1

=====

# 9
# TiHF4 | the Alexandria database | PBE | optimized geometry
# Raw total energy (Ry per atom): -0.419
data_TiHF4
_chemical_formula_sum 'Ti4 H4 F16'
_cell_length_a 4.949
_cell_length_b 7.261
_cell_length_c 6.696
_cell_angle_alpha 90.00
_cell_angle_beta 90.00
_cell_angle_gamma 90.00
_space_group_name_H-M_alt 'C c c m'
_space_group_IT_number 66
_space_group_name_Hall '-C 2 2c'
loop_
_atom_site_label
_atom_site_fract_x
_atom_site_fract_y
_atom_site_fract_z
_atom_site_occupancy
Ti1 0.000 0.000 0.250 1
H1 0.250 0.250 0.000 1
F1 0.206 0.073 0.500 1
F2 0.250 0.250 0.171 1

=====

# 10
# Ti2HF6 | the Alexandria database | PBE | optimized geometry
# Raw total energy (Ry per atom): -0.449
data_Ti2HF6
_chemical_formula_sum 'Ti6 H3 F18'
_cell_length_a 5.4833
_cell_length_b 5.4833
_cell_length_c 13.8736
_cell_angle_alpha 90.00
_cell_angle_beta 90.00
_cell_angle_gamma 120.00
_space_group_name_H-M_alt 'R 3'
_space_group_IT_number 146
_space_group_name_Hall 'R 3'
loop_
_atom_site_label
_atom_site_fract_x
_atom_site_fract_y
_atom_site_fract_z
_atom_site_occupancy
Ti1 0.0000 0.0000 0.0000 1
Ti2 0.0000 0.0000 0.3689 1
H1 0.0000 0.0000 0.4877 1
F1 0.9998 0.3059 0.0773 1
F2 0.0654 0.7131 0.9412 1

=====

# 11
# TiTlH2F | the Alexandria database | PBE | optimized geometry
# Raw total energy (Ry per atom): -0.266
data_TiTlH2F
_chemical_formula_sum 'Ti1 Tl1 H2 F1'
_cell_length_a 3.729
_cell_length_b 3.729
_cell_length_c 5.821
_cell_angle_alpha 90.00
_cell_angle_beta 90.00
_cell_angle_gamma 90.00
_space_group_name_H-M_alt 'P 4/m m m'
_space_group_IT_number 123
_space_group_name_Hall '-P 4 2'
loop_
_atom_site_label
_atom_site_fract_x
_atom_site_fract_y
_atom_site_fract_z
_atom_site_occupancy
Ti1 0.000 0.000 0.000 1
Tl1 0.500 0.500 0.500 1
H1 0.000 0.500 0.500 1
F1 0.500 0.500 0.000 1

=====

# 12
# TiTlHF6 | the Alexandria database | PBE | optimized geometry
# Raw total energy (Ry per atom): -0.401
data_TiTlHF6
_chemical_formula_sum 'Ti1 Tl1 H1 F6'
_cell_length_a 4.944
_cell_length_b 5.741
_cell_length_c 5.746
_cell_angle_alpha 91.73
_cell_angle_beta 92.00
_cell_angle_gamma 114.26
_space_group_name_H-M_alt 'P 1'
_space_group_IT_number 1
loop_
_space_group_symop_operation_xyz
'x,y,z'
loop_
_atom_site_label
_atom_site_fract_x
_atom_site_fract_y
_atom_site_fract_z
_atom_site_occupancy
Ti1 0.000 0.000 0.000 1
Tl1 0.353 0.594 0.511 1
H1 0.580 0.170 0.798 1
F1 0.005 0.293 0.142 1
F2 0.215 0.939 0.231 1
F3 0.383 0.230 0.851 1
F4 0.646 0.780 0.099 1
F5 0.751 0.107 0.740 1
F6 0.988 0.770 0.760 1

=====

| no. | total magnetization (μB/f.u.) |
| --- | --- |
| 1 | 1.04 |
| 2 | 1.00 |
| 3 | 0.00 |
| 4 | 0.93 |
| 5 | 3.16 |
| 6 | 0.00 |
| 7 | 1.00 |
| 8 | 0.00 |
| 9 | 1.00 |
| 10 | 1.01 |
| 11 | 2.66 |
| 12 | 0.00 |